# NaLaMoO4 PBE with a Hubbard U relaxed
data_NaLaMoO4
_chemical_formula_sum 'Na4 La4 Mo4 O16'
_cell_length_a 6.5735
_cell_length_b 7.3961
_cell_length_c 9.5100
_cell_angle_alpha 90.00
_cell_angle_beta 90.00
_cell_angle_gamma 90.00
_symmetry_space_group_name_H-M 'I m m a'
_symmetry_Int_Tables_number 74
_symmetry_space_group_name_Hall '-I 2b 2'
loop_
_atom_site_label
_atom_site_type_symbol
_atom_site_fract_x
_atom_site_fract_y
_atom_site_fract_z
Na1 Na 0.0000 0.2500 0.1104
La1 La 0.0000 0.0000 0.5000
Mo1 Mo 0.2500 0.2500 0.7500
O1 O 0.0000 0.0646 0.7494
O2 O 0.2276 0.2500 0.5341
# Size of the total moment in μB per cell: 8.0
# Final energy in eV per cell: -196.8

***

# NaLaMoO5 PBE with a Hubbard U relaxed
data_NaLaMoO5
_chemical_formula_sum 'Na4 La4 Mo4 O20'
_cell_length_a 7.1254
_cell_length_b 11.2635
_cell_length_c 8.2712
_cell_angle_alpha 90.00
_cell_angle_beta 113.01
_cell_angle_gamma 90.00
_symmetry_space_group_name_H-M 'C 1 2/c 1'
_symmetry_Int_Tables_number 15
_symmetry_space_group_name_Hall '-C 2yc'
loop_
_atom_site_label
_atom_site_type_symbol
_atom_site_fract_x
_atom_site_fract_y
_atom_site_fract_z
Na1 Na 0.0000 0.2268 0.2500
La1 La 0.0000 0.5000 0.0000
Mo1 Mo 0.0000 0.2069 0.7500
O1 O 0.0000 0.4241 0.2500
O2 O 0.1405 0.3005 0.6574
O3 O 0.1690 0.1143 0.9205
# Density of states at the Fermi level in states/eV/f.u.: 0.00
# Size of the total moment in μB per cell: 0.0
# Final energy in eV per cell: -224.3

***

# NaLa2MoO6 PBE with a Hubbard U relaxed
data_NaLa2MoO6
_chemical_formula_sum 'Na2 La4 Mo2 O12'
_cell_length_a 5.6836
_cell_length_b 6.0087
_cell_length_c 10.0488
_cell_angle_alpha 90.00
_cell_angle_beta 124.25
_cell_angle_gamma 90.00
_symmetry_space_group_name_H-M 'P 1 21/c 1'
_symmetry_Int_Tables_number 14
_symmetry_space_group_name_Hall '-P 2ybc'
loop_
_atom_site_label
_atom_site_type_symbol
_atom_site_fract_x
_atom_site_fract_y
_atom_site_fract_z
Na1 Na 0.0000 0.0000 0.0000
La1 La 0.2319 0.0607 0.7469
Mo1 Mo 0.5000 0.0000 0.5000
O1 O 0.1707 0.1713 0.4521
O2 O 0.2482 0.7209 0.4212
O3 O 0.3968 0.0605 0.2729
# Density of states at the Fermi level in states/eV/f.u.: 0.00
# Size of the total moment in μB per cell: 2.0
# Final energy in eV per cell: -149.0

***

# Na5LaMo4O16 PBE with a Hubbard U relaxed
data_Na5LaMo4O16
_chemical_formula_sum 'Na20 La4 Mo16 O64'
_cell_length_a 11.7652
_cell_length_b 11.7652
_cell_length_c 11.7009
_cell_angle_alpha 90.00
_cell_angle_beta 90.00
_cell_angle_gamma 90.00
_symmetry_space_group_name_H-M 'I 41/a'
_symmetry_Int_Tables_number 88
loop_
_symmetry_equiv_pos_as_xyz
'x,y,z'
'-x,-y,-z'
'-y+3/4,x+1/4,z+1/4'
'y+3/4,-x+1/4,-z+1/4'
'-x+1/2,-y,z+1/2'
'x+1/2,y,-z+1/2'
'y+3/4,-x+3/4,z+3/4'
'-y+3/4,x+3/4,-z+3/4'
'x+1/2,y+1/2,z+1/2'
'-x+1/2,-y+1/2,-z+1/2'
'-y+1/4,x+3/4,z+3/4'
'y+1/4,-x+3/4,-z+3/4'
'-x,-y+1/2,z'
'x,y+1/2,-z'
'y+1/4,-x+1/4,z+1/4'
'-y+1/4,x+1/4,-z+1/4'
loop_
_atom_site_label
_atom_site_type_symbol
_atom_site_fract_x
_atom_site_fract_y
_atom_site_fract_z
Na1 Na 0.0000 0.2500 0.1250
Na2 Na 0.1233 0.4545 0.8399
La1 La 0.0000 0.2500 0.6250
Mo1 Mo 0.0968 0.4289 0.3560
O1 O 0.0265 0.1015 0.2708
O2 O 0.0603 0.1365 0.7966
O3 O 0.0866 0.0638 0.5669
O4 O 0.1774 0.0328 0.9854
# Density of states at the Fermi level in states/eV/f.u.: 0.00
# Size of the total moment in μB per cell: 0.0
# Final energy in eV per cell: -684.4